1.
A relaxed structure of Zr2ScIn. Source: the Alexandria database, functional GGA-PBEsol.

a = 3.156 Å, b = 3.156 Å, c = 8.816 Å
α = 90.00°, β = 90.00°, γ = 90.00°
Positions (direct):
Sc: 0.500 0.500 0.746
Zr: 0.000 0.000 0.999
Zr: 0.500 0.500 0.254
In: 0.000 0.000 0.502

## Properties
Its final energy is -7.17 eV/atom. As for the calculated volume: 87.8 Å³/cell. The magnetic moment comes out at 0.00 Bohr magnetons per cell. The calculated formation energy comes out at -0.22 eV per atom. For the density, the calculation gives 6473 kg/m3.

=====

2.
A relaxed structure of CuMoAs2. Source: the Alexandria database, functional GGA-PBEsol.

a = 4.417 Å, b = 4.417 Å, c = 4.417 Å
α = 60.00°, β = 60.00°, γ = 60.00°
Positions (direct):
As: 0.000 0.000 0.000
As: 0.750 0.750 0.750
Cu: 0.500 0.500 0.500
Mo: 0.250 0.250 0.250

## Properties
Its final energy is -6.04 eV/atom. As for the calculated volume: 60.9 Å³/cell. The magnetic moment comes out at 0.00 Bohr magnetons per cell. The calculated formation energy comes out at 0.54 eV per atom. For the density, the calculation gives 8429 kg/m3. As for the distance to the lowest polymorph of the same formula: 584 meV per atom.

=====

3.
A relaxed structure of TeIr2Cl. Source: the Alexandria database, functional GGA-PBEsol.

a = 2.877 Å, b = 3.003 Å, c = 9.583 Å
α = 90.00°, β = 90.00°, γ = 118.63°
Positions (direct):
Ir: 0.000 0.000 0.001
Ir: 0.500 0.000 0.228
Te: 0.000 0.000 0.473
Cl: 0.500 0.000 0.798

## Properties
Its final energy is -5.75 eV/atom. As for the calculated volume: 72.7 Å³/cell. The magnetic moment comes out at 0.00 Bohr magnetons per cell. For the density, the calculation gives 12510 kg/m3. As for the distance to the lowest polymorph of the same formula: 111 meV per atom.

=====

4.
A relaxed structure of TaInSe2N. Source: the Alexandria database, functional GGA-PBEsol.

a = 3.911 Å, b = 5.170 Å, c = 5.170 Å
α = 90.00°, β = 90.00°, γ = 90.00°
Last column: magnetic moment on the atom in μB.
Positions (direct):
N: 0.500 0.000 0.000  0.76
In: 0.000 0.000 0.000  0.01
Se: 0.000 0.000 0.500  0.17
Se: 0.000 0.500 0.000  0.17
Ta: 0.500 0.500 0.500  -1.59

## Properties
Its final energy is -5.11 eV/atom. As for the calculated volume: 104.5 Å³/cell. The magnetic moment comes out at 0.84 Bohr magnetons per cell. For the density, the calculation gives 7430 kg/m3.

=====

5.
A relaxed structure of Li2MnTe. Source: the Alexandria database, functional GGA-PBEsol.

a = 3.173 Å, b = 3.173 Å, c = 9.287 Å
α = 80.16°, β = 80.16°, γ = 60.00°
Last column: magnetic moment on the atom in μB.
Positions (direct):
Li: 0.251 0.251 0.246  -0.01
Li: 0.749 0.749 0.754  -0.01
Mn: 0.500 0.500 0.500  3.97
Te: 0.000 0.000 0.000  0.00

## Properties
Its final energy is -4.09 eV/atom. As for the calculated volume: 79.4 Å³/cell. The magnetic moment comes out at 4.13 Bohr magnetons per cell. For the density, the calculation gives 4109 kg/m3.

=====

6.
A relaxed structure of KSnSe2. Source: the Alexandria database, functional GGA-PBEsol.

a = 6.619 Å, b = 6.619 Å, c = 6.619 Å
α = 106.46°, β = 106.46°, γ = 115.67°
Positions (direct):
K: 0.308 0.308 0.000
K: 0.808 0.808 0.000
Sn: 0.808 0.308 0.500
Sn: 0.308 0.808 0.500
Se: 0.745 0.872 0.500
Se: 0.372 0.245 0.500
Se: 0.872 0.372 0.127
Se: 0.245 0.745 0.873

## Properties
Its final energy is -3.95 eV/atom. As for the calculated volume: 221.2 Å³/cell. The magnetic moment comes out at 0.00 Bohr magnetons per cell. For the density, the calculation gives 4740 kg/m3.

=====

7.
A relaxed structure of Na2Cd2Ga. Source: the Alexandria database, functional GGA-PBEsol.

a = 4.096 Å, b = 4.096 Å, c = 7.960 Å
α = 104.91°, β = 104.91°, γ = 90.00°
Positions (direct):
Na: 0.250 0.750 0.500
Na: 0.750 0.250 0.500
Ga: 0.000 0.000 0.000
Cd: 0.408 0.408 0.816
Cd: 0.592 0.592 0.184

## Properties
Its final energy is -1.51 eV/atom. As for the calculated volume: 124.4 Å³/cell. The magnetic moment comes out at 0.00 Bohr magnetons per cell. The calculated formation energy comes out at 0.20 eV per atom. For the density, the calculation gives 4546 kg/m3. As for the distance to the lowest polymorph of the same formula: 210 meV per atom.

=====

8.
A relaxed structure of AgAuN2O. Source: the Alexandria database, functional GGA-PBEsol.

a = 3.991 Å, b = 3.991 Å, c = 4.078 Å
α = 90.00°, β = 90.00°, γ = 90.00°
Last column: magnetic moment on the atom in μB.
Positions (direct):
Au: 0.500 0.500 0.500  0.34
O: 0.000 0.000 0.500  0.42
Ag: 0.000 0.000 0.000  0.11
N: 0.000 0.500 0.000  0.92
N: 0.500 0.000 0.000  0.92

## Properties
Its final energy is -3.93 eV/atom. As for the calculated volume: 65.0 Å³/cell. The magnetic moment comes out at 3.41 Bohr magnetons per cell. For the density, the calculation gives 8917 kg/m3.